Entry 1:
Below is a geometry-optimized Mg2ReAu structure, with properties calculated at the PBE level.

Properties
excess energy over the best structure of this formula in the dataset	13	meV per atom

abc: 2.794 2.794 8.627
angles: 90.00 90.00 90.00
Sites, in units of the cell vectors:
Re (0.500, 0.500, 0.250)
Au (0.500, 0.500, 0.750)
Mg (0.000, 0.000, 0.001)
Mg (0.000, 0.000, 0.499)

Entry 2:
Below is a geometry-optimized MgRe2Au structure, with properties calculated at the PBE level.

Properties
VASP energy	-7.015	eV/atom

abc: 2.760 4.476 5.281
angles: 90.00 90.00 90.00
Sites, in units of the cell vectors:
Re (0.000, 0.000, 0.977)
Re (0.000, 0.000, 0.523)
Mg (0.500, 0.500, 0.750)
Au (0.500, 0.500, 0.250)

Entry 3:
Below is a geometry-optimized Mg2ReAu structure, with properties calculated at the PBE level.

Properties
excess energy over the best structure of this formula in the dataset	621	meV per atom

abc: 7.314 7.314 5.884
angles: 51.57 51.57 90.00
Sites, in units of the cell vectors:
Mg (0.639, 0.125, 0.250)
Mg (0.111, 0.625, 0.250)
Mg (0.875, 0.889, 0.750)
Re (0.250, 0.750, 0.500)
Au (0.000, 0.000, 0.000)
Au (0.750, 0.250, 0.500)
Re (0.500, 0.500, 0.000)
Mg (0.375, 0.361, 0.750)

Entry 4:
Below is a geometry-optimized MgRe2Au structure, with properties calculated at the PBE level.

Properties
VASP energy	-6.374	eV/atom

abc: 7.756 7.756 6.016
angles: 49.87 49.87 90.00
Sites, in units of the cell vectors:
Mg (0.500, 0.500, 0.000)
Re (0.875, 0.910, 0.750)
Re (0.090, 0.625, 0.250)
Re (0.375, 0.340, 0.750)
Au (0.000, 0.000, 0.000)
Au (0.750, 0.250, 0.500)
Mg (0.250, 0.750, 0.500)
Re (0.660, 0.125, 0.250)

Entry 5:
Below is a geometry-optimized MgRe2Au structure, with properties calculated at the PBE level.

Properties
VASP energy	-6.954	eV/atom

abc: 2.687 2.687 9.301
angles: 90.00 90.00 105.01
Sites, in units of the cell vectors:
Mg (0.500, 0.500, 0.750)
Re (0.000, 0.000, 0.997)
Re (0.000, 0.000, 0.503)
Au (0.500, 0.500, 0.250)

Entry 6:
Below is a geometry-optimized MgRe2Au structure, with properties calculated at the PBE level.

Properties
VASP energy	-7.309	eV/atom

abc: 3.927 2.880 6.412
angles: 65.41 90.00 90.00
Sites, in units of the cell vectors:
Au (0.000, 0.483, 0.521)
Re (0.000, 0.996, 0.032)
Re (0.500, 0.240, 0.210)
Mg (0.500, 0.781, 0.737)

Entry 7:
Below is a geometry-optimized MgRe2Au structure, with properties calculated at the PBE level.

Properties
VASP energy	-7.000	eV/atom

abc: 5.182 5.182 2.733
angles: 90.00 90.00 118.75
Sites, in units of the cell vectors:
Re (0.000, 0.000, 0.000)
Re (0.500, 0.500, 0.000)
Au (0.500, 0.000, 0.500)
Mg (0.000, 0.500, 0.500)

Entry 8:
Below is a geometry-optimized MgRe2Au structure, with properties calculated at the PBE level.

Properties
VASP energy	-7.152	eV/atom

abc: 5.114 5.114 4.697
angles: 80.98 80.98 32.04
Sites, in units of the cell vectors:
Re (0.007, 0.007, 0.003)
Re (0.493, 0.493, 0.497)
Au (0.750, 0.750, 0.750)
Mg (0.250, 0.250, 0.250)

no.,V (Å³/f.u.)
1,67.3
2,65.2
3,75.0
4,74.4
5,64.9
6,65.9
7,64.3
8,64.3